3
Lattice="4.653 0.000 0.000 -2.326 4.029 0.000 0.000 0.000 3.146" Properties=species:S:1:pos:R:3 comment="PaAlZn (PBE, optimized geometry)" e_tot_ev_per_atom=-5.023 formation_enthalpy_0k_ev_per_atom=-0.185 vol_a3_per_cell=59 magnetic_moment_mub_per_atom=0.00 sg="P-6m2 (187)" pbc="T T T"
Pa 0.000 0.000 0.000
Al 0.000 2.686 1.573
Zn 2.326 1.343 1.573